# 1
The following is a DFT calculation (meta-GGA SCAN) of a PBEsol-optimized structure of Sb3PS.

POSCAR file:
```
Sb3PS
1.0
5.076 0.000 0.000
0.000 5.076 0.000
0.000 0.000 5.076
Sb P S
3 1 1
Direct
0.000 0.000 0.500
0.000 0.500 0.000
0.500 0.000 0.000
0.500 0.500 0.500
0.000 0.000 0.000
```

theoretical density: 5.44 g/cm³
SG: No. 221
raw formation energy: 1.03 eV per atom
DOS at the Fermi energy: 4.7 states/eV/f.u.
spin magnetization: 0.00 μB/f.u.

# 2
The following is a DFT calculation (meta-GGA SCAN) of a PBEsol-optimized structure of KCa3Cd.

POSCAR file:
```
KCa3Cd
1.0
6.187 0.000 0.000
0.000 6.187 0.000
0.000 0.000 6.187
K Ca Cd
1 3 1
Direct
0.000 0.000 0.000
0.000 0.000 0.500
0.000 0.500 0.000
0.500 0.000 0.000
0.500 0.500 0.500
```

energy relative to the elements: 0.975 eV/atom
theoretical density: 1.90 g/cm³
SG: No. 221
DOS at the Fermi energy: 7.6 states/eV/f.u.
spin magnetization: 1.33 μB/f.u.

# 3
The following is a DFT calculation (meta-GGA SCAN) of a PBEsol-optimized structure of KBiIr3.

POSCAR file:
```
KBiIr3
1.0
4.701 0.000 0.000
0.000 4.701 0.000
0.000 0.000 4.701
K Bi Ir
1 1 3
Direct
0.000 0.000 0.000
0.500 0.500 0.500
0.000 0.000 0.500
0.000 0.500 0.000
0.500 0.000 0.000
```

energy relative to the elements: 3.068 eV/atom
theoretical density: 13.19 g/cm³
SG: No. 221
DOS at the Fermi energy: 3.2 states/eV/f.u.
spin magnetization: 1.40 μB/f.u.